No. 1
Computed, not measured: a relaxed structure of Sr2La2Hg3 at the PBE level of DFT.

```
data_Sr2La2Hg3
_cell_length_a 5.5002
_cell_length_b 5.5002
_cell_length_c 27.6720
_cell_angle_alpha 90.00
_cell_angle_beta 90.00
_cell_angle_gamma 120.00
_space_group_name_H-M_alt 'R -3 m'
_space_group_IT_number 166
_space_group_name_Hall '-R 3 2"'
loop_
_atom_site_label
_atom_site_type_symbol
_atom_site_fract_x
_atom_site_fract_y
_atom_site_fract_z
_atom_site_occupancy
Sr1 Sr 0.0000 0.0000 0.1256 1
La1 La 0.0000 0.0000 0.3755 1
Hg1 Hg 0.0000 0.0000 0.0000 1
Hg2 Hg 0.0000 0.0000 0.2538 1
```

volume	34.519	Å³ per atom
E	-2.42	eV/atom

=====

No. 2
Computed, not measured: a relaxed structure of SrLa5Hg6 at the PBE level of DFT.

```
data_SrLa5Hg6
_cell_length_a 5.532
_cell_length_b 16.601
_cell_length_c 7.895
_cell_angle_alpha 90.00
_cell_angle_beta 90.00
_cell_angle_gamma 90.00
_space_group_name_H-M_alt 'C m m m'
_space_group_IT_number 65
_space_group_name_Hall '-C 2 2'
loop_
_atom_site_label
_atom_site_type_symbol
_atom_site_fract_x
_atom_site_fract_y
_atom_site_fract_z
_atom_site_occupancy
Sr1 Sr 0.000 0.000 0.000 1
La1 La 0.000 0.000 0.500 1
La2 La 0.000 0.333 0.500 1
La3 La 0.000 0.336 0.000 1
Hg1 Hg 0.000 0.169 0.250 1
Hg2 Hg 0.000 0.500 0.256 1
```

volume	30.212	Å³ per atom
E	-2.85	eV/atom

=====

No. 3
Computed, not measured: a relaxed structure of SrLaHg2 at the PBE level of DFT.

```
data_SrLaHg2
_cell_length_a 3.896
_cell_length_b 5.453
_cell_length_c 11.592
_cell_angle_alpha 90.00
_cell_angle_beta 90.00
_cell_angle_gamma 90.00
_space_group_name_H-M_alt 'I m m 2'
_space_group_IT_number 44
_space_group_name_Hall 'I 2 -2'
loop_
_atom_site_label
_atom_site_type_symbol
_atom_site_fract_x
_atom_site_fract_y
_atom_site_fract_z
_atom_site_occupancy
Sr1 Sr 0.000 0.000 0.000 1
La1 La 0.000 0.500 0.208 1
Hg1 Hg 0.000 0.000 0.470 1
Hg2 Hg 0.000 0.500 0.761 1
```

volume	30.783	Å³ per atom
E	-2.17	eV/atom

=====

No. 4
Computed, not measured: a relaxed structure of SrLaHg2 at the PBE level of DFT.

```
data_SrLaHg2
_cell_length_a 3.942
_cell_length_b 3.966
_cell_length_c 7.931
_cell_angle_alpha 90.00
_cell_angle_beta 90.00
_cell_angle_gamma 90.00
_space_group_name_H-M_alt 'P m m m'
_space_group_IT_number 47
_space_group_name_Hall '-P 2 2'
loop_
_atom_site_label
_atom_site_type_symbol
_atom_site_fract_x
_atom_site_fract_y
_atom_site_fract_z
_atom_site_occupancy
Sr1 Sr 0.000 0.000 0.000 1
La1 La 0.000 0.000 0.500 1
Hg1 Hg 0.500 0.500 0.264 1
```

volume	31.004	Å³ per atom
E	-2.33	eV/atom

=====

No. 5
Computed, not measured: a relaxed structure of SrLaHg2 at the PBE level of DFT.

```
data_SrLaHg2
_cell_length_a 4.2179
_cell_length_b 4.2179
_cell_length_c 27.1129
_cell_angle_alpha 90.00
_cell_angle_beta 90.00
_cell_angle_gamma 120.00
_space_group_name_H-M_alt 'R -3 m'
_space_group_IT_number 166
_space_group_name_Hall '-R 3 2"'
loop_
_atom_site_label
_atom_site_type_symbol
_atom_site_fract_x
_atom_site_fract_y
_atom_site_fract_z
_atom_site_occupancy
Sr1 Sr 0.0000 0.0000 0.0000 1
La1 La 0.0000 0.0000 0.5000 1
Hg1 Hg 0.0000 0.0000 0.2469 1
```

volume	34.811	Å³ per atom
E	-2.17	eV/atom

=====

No. 6
Computed, not measured: a relaxed structure of SrLaHg2 at the PBE level of DFT.

```
data_SrLaHg2
_cell_length_a 5.187
_cell_length_b 4.071
_cell_length_c 12.162
_cell_angle_alpha 90.00
_cell_angle_beta 90.00
_cell_angle_gamma 90.00
_space_group_name_H-M_alt 'A m m 2'
_space_group_IT_number 38
_space_group_name_Hall 'A 2 -2'
loop_
_atom_site_label
_atom_site_type_symbol
_atom_site_fract_x
_atom_site_fract_y
_atom_site_fract_z
_atom_site_occupancy
Sr1 Sr 0.000 0.000 0.000 1
La1 La 0.500 0.000 0.275 1
Hg1 Hg 0.000 0.000 0.727 1
Hg2 Hg 0.500 0.000 0.555 1
```

volume	32.097	Å³ per atom
E	-2.28	eV/atom

=====

No. 7
Computed, not measured: a relaxed structure of Sr5LaHg6 at the PBE level of DFT.

```
data_Sr5LaHg6
_cell_length_a 5.613
_cell_length_b 16.858
_cell_length_c 8.032
_cell_angle_alpha 90.00
_cell_angle_beta 90.00
_cell_angle_gamma 90.00
_space_group_name_H-M_alt 'C m m m'
_space_group_IT_number 65
_space_group_name_Hall '-C 2 2'
loop_
_atom_site_label
_atom_site_type_symbol
_atom_site_fract_x
_atom_site_fract_y
_atom_site_fract_z
_atom_site_occupancy
Sr1 Sr 0.000 0.000 0.000 1
Sr2 Sr 0.000 0.332 0.500 1
Sr3 Sr 0.000 0.333 0.000 1
La1 La 0.000 0.000 0.500 1
Hg1 Hg 0.000 0.163 0.254 1
Hg2 Hg 0.000 0.500 0.261 1
```

volume	31.667	Å³ per atom
E	-1.80	eV/atom

=====

No. 8
Computed, not measured: a relaxed structure of SrLa2Hg4 at the PBE level of DFT.

```
data_SrLa2Hg4
_cell_length_a 5.4005
_cell_length_b 5.4005
_cell_length_c 26.9390
_cell_angle_alpha 90.00
_cell_angle_beta 90.00
_cell_angle_gamma 120.00
_space_group_name_H-M_alt 'R -3 m'
_space_group_IT_number 166
_space_group_name_Hall '-R 3 2"'
loop_
_atom_site_label
_atom_site_type_symbol
_atom_site_fract_x
_atom_site_fract_y
_atom_site_fract_z
_atom_site_occupancy
Sr1 Sr 0.0000 0.0000 0.0000 1
La1 La 0.0000 0.0000 0.2449 1
Hg1 Hg 0.0000 0.0000 0.1259 1
Hg2 Hg 0.0000 0.0000 0.3788 1
```

volume	32.401	Å³ per atom
E	-2.18	eV/atom

=====

No. 9
Computed, not measured: a relaxed structure of Sr2LaHg at the PBE level of DFT.

```
data_Sr2LaHg
_cell_length_a 4.0710
_cell_length_b 4.0710
_cell_length_c 33.9293
_cell_angle_alpha 90.00
_cell_angle_beta 90.00
_cell_angle_gamma 120.00
_space_group_name_H-M_alt 'R 3 m'
_space_group_IT_number 160
_space_group_name_Hall 'R 3 -2"'
loop_
_atom_site_label
_atom_site_type_symbol
_atom_site_fract_x
_atom_site_fract_y
_atom_site_fract_z
_atom_site_occupancy
Sr1 Sr 0.0000 0.0000 0.0000 1
Sr2 Sr 0.0000 0.0000 0.1916 1
La1 La 0.0000 0.0000 0.4301 1
Hg1 Hg 0.0000 0.0000 0.5954 1
```

volume	40.582	Å³ per atom
E	-2.25	eV/atom

=====

No. 10
Computed, not measured: a relaxed structure of Sr2LaHg8 at the PBE level of DFT.

```
data_Sr2LaHg8
_cell_length_a 16.275
_cell_length_b 5.317
_cell_length_c 7.629
_cell_angle_alpha 90.00
_cell_angle_beta 111.71
_cell_angle_gamma 90.00
_space_group_name_H-M_alt 'C 1 2/m 1'
_space_group_IT_number 12
_space_group_name_Hall '-C 2y'
loop_
_atom_site_label
_atom_site_type_symbol
_atom_site_fract_x
_atom_site_fract_y
_atom_site_fract_z
_atom_site_occupancy
Sr1 Sr 0.209 0.000 0.149 1
La1 La 0.000 0.500 0.500 1
Hg1 Hg 0.013 0.000 0.219 1
Hg2 Hg 0.090 0.500 0.956 1
Hg3 Hg 0.149 0.000 0.644 1
Hg4 Hg 0.171 0.500 0.390 1
```

volume	27.880	Å³ per atom
E	-1.38	eV/atom

=====

No. 11
Computed, not measured: a relaxed structure of Sr2LaHg at the PBE level of DFT.

```
data_Sr2LaHg
_cell_length_a 3.881
_cell_length_b 3.881
_cell_length_c 10.231
_cell_angle_alpha 90.00
_cell_angle_beta 90.00
_cell_angle_gamma 90.00
_space_group_name_H-M_alt 'P 4/m m m'
_space_group_IT_number 123
_space_group_name_Hall '-P 4 2'
loop_
_atom_site_label
_atom_site_type_symbol
_atom_site_fract_x
_atom_site_fract_y
_atom_site_fract_z
_atom_site_occupancy
Sr1 Sr 0.000 0.000 0.201 1
La1 La 0.500 0.500 0.500 1
Hg1 Hg 0.500 0.500 0.000 1
```

volume	38.526	Å³ per atom
E	-2.32	eV/atom

=====

No. 12
Computed, not measured: a relaxed structure of SrLa2Hg7 at the PBE level of DFT.

```
data_SrLa2Hg7
_cell_length_a 5.2581
_cell_length_b 5.2581
_cell_length_c 12.3763
_cell_angle_alpha 90.00
_cell_angle_beta 90.00
_cell_angle_gamma 120.00
_space_group_name_H-M_alt 'P 3 m 1'
_space_group_IT_number 156
_space_group_name_Hall 'P 3 -2"'
loop_
_atom_site_label
_atom_site_type_symbol
_atom_site_fract_x
_atom_site_fract_y
_atom_site_fract_z
_atom_site_occupancy
Sr1 Sr 0.0000 0.0000 0.0000 1
La1 La 0.3333 0.6667 0.6545 1
La2 La 0.6667 0.3333 0.4247 1
Hg1 Hg 0.0000 0.0000 0.2912 1
Hg2 Hg 0.0000 0.0000 0.5540 1
Hg3 Hg 0.3333 0.6667 0.1426 1
Hg4 Hg 0.3333 0.6667 0.3844 1
Hg5 Hg 0.3333 0.6667 0.8992 1
Hg6 Hg 0.6667 0.3333 0.1474 1
Hg7 Hg 0.6667 0.3333 0.7860 1
```

volume	29.633	Å³ per atom
E	-1.72	eV/atom

=====

No. 13
Computed, not measured: a relaxed structure of Sr2LaHg at the PBE level of DFT.

```
data_Sr2LaHg
_cell_length_a 4.110
_cell_length_b 5.890
_cell_length_c 12.890
_cell_angle_alpha 90.00
_cell_angle_beta 90.00
_cell_angle_gamma 90.00
_space_group_name_H-M_alt 'I m m m'
_space_group_IT_number 71
_space_group_name_Hall '-I 2 2'
loop_
_atom_site_label
_atom_site_type_symbol
_atom_site_fract_x
_atom_site_fract_y
_atom_site_fract_z
_atom_site_occupancy
Sr1 Sr 0.000 0.000 0.201 1
La1 La 0.000 0.500 0.000 1
Hg1 Hg 0.000 0.500 0.500 1
```

volume	39.005	Å³ per atom
E	-2.28	eV/atom

=====

No. 14
Computed, not measured: a relaxed structure of SrLaHg2 at the PBE level of DFT.

```
data_SrLaHg2
_cell_length_a 8.522
_cell_length_b 8.522
_cell_length_c 8.005
_cell_angle_alpha 90.00
_cell_angle_beta 90.00
_cell_angle_gamma 90.00
_space_group_name_H-M_alt 'I -4 2 d'
_space_group_IT_number 122
_space_group_name_Hall 'I -4 2bw'
loop_
_atom_site_label
_atom_site_type_symbol
_atom_site_fract_x
_atom_site_fract_y
_atom_site_fract_z
_atom_site_occupancy
Sr1 Sr 0.000 0.000 0.000 1
La1 La 0.000 0.000 0.500 1
Hg1 Hg 0.240 0.250 0.625 1
```

volume	36.334	Å³ per atom
E	-2.01	eV/atom

=====

| no. | mass density (g cm⁻³) |
| --- | --- |
| 1 | 7.25 |
| 2 | 9.09 |
| 3 | 8.47 |
| 4 | 8.40 |
| 5 | 7.49 |
| 6 | 8.12 |
| 7 | 7.78 |
| 8 | 8.55 |
| 9 | 5.27 |
| 10 | 10.39 |
| 11 | 5.55 |
| 12 | 9.92 |
| 13 | 5.48 |
| 14 | 7.17 |